This record from the Alexandria database describes HgB3H after structural relaxation. The functional is PBE.

Results
energy above the most stable polymorph in this dataset: 718 meV/atom
DOS(E_F): 3.19 states/eV/cell
total magnetization: 0.000 μB/atom
DFT total energy: -2.014 eV/atom

Lattice parameters (Å, degrees): 4.4103 4.4103 4.4103 90.00 90.00 90.00
Closest atoms and distances in Å follow each position.
Atoms (fractional coordinates):
1 B 0.0000 0.0000 0.5000  2 Hg 2.21
2 B 0.0000 0.5000 0.0000  2 Hg 2.21
3 B 0.5000 0.0000 0.0000  2 Hg 2.21
4 H 0.5000 0.5000 0.5000  12 B 3.12
5 Hg 0.0000 0.0000 0.0000  6 B 2.21

=====

This record from the Alexandria database describes HgB2H after structural relaxation. The functional is PBE.

Results
energy above the most stable polymorph in this dataset: 0 meV/atom
DOS(E_F): 2.14 states/eV/cell
total magnetization: 0.000 μB/atom
DFT total energy: -3.276 eV/atom

Lattice parameters (Å, degrees): 3.4326 3.4326 7.3778 76.55 76.55 90.00
Closest atoms and distances in Å follow each position.
Atoms (fractional coordinates):
1 H 0.2500 0.7500 0.5000  4 B 1.94
2 Hg 0.0000 0.0000 0.0000  4 H 2.43, 8 B 2.59
3 B 0.3750 0.6250 0.2500  2 B 1.72
4 B 0.3750 0.6250 0.7500  2 B 1.72
5 H 0.5000 0.5000 0.0000  4 B 1.94
6 B 0.3750 0.1250 0.2500  2 B 1.72
7 B 0.8750 0.6250 0.7500  2 B 1.72
8 Hg 0.7500 0.2500 0.5000  4 H 2.43, 8 B 2.59

=====

This record from the Alexandria database describes HgB2H8 after structural relaxation. The functional is PBE.

Results
DOS(E_F): 0.00 states/eV/cell
total magnetization: 0.000 μB/atom
DFT total energy: -3.607 eV/atom

Lattice parameters (Å, degrees): 6.7244 6.3406 4.6535 123.29 90.00 122.02
Closest atoms and distances in Å follow each position.
Atoms (fractional coordinates):
1 B 0.7817 0.5635 0.3489  4 H 1.21-1.33
2 H 0.7792 0.5584 0.6310  1 B 1.33
3 H 0.3274 0.3447 0.6863  1 B 1.21
4 B 0.2183 0.4365 0.6511  4 H 1.21-1.33
5 Hg 0.0000 0.0000 0.0000  2 H 1.82
6 H 0.6352 0.2703 0.1742  1 B 1.22
7 H 0.6726 0.6553 0.3137  1 B 1.21
8 H 0.0173 0.3447 0.6863  1 B 1.21
9 H 0.9827 0.6553 0.3137  1 B 1.21
10 H 0.3648 0.7297 0.8258  1 B 1.22
11 H 0.2208 0.4416 0.3690  1 B 1.33

=====

This record from the Alexandria database describes Hg3BH after structural relaxation. The functional is PBE.

Results
energy above the most stable polymorph in this dataset: 0 meV/atom
DOS(E_F): 0.58 states/eV/cell
total magnetization: 0.000 μB/atom
DFT total energy: -1.435 eV/atom

Lattice parameters (Å, degrees): 4.6328 4.6328 4.6328 90.00 90.00 90.00
Closest atoms and distances in Å follow each position.
Atoms (fractional coordinates):
1 B 0.0000 0.0000 0.0000  6 Hg 2.32
2 H 0.5000 0.5000 0.5000  12 Hg 3.28
3 Hg 0.0000 0.5000 0.0000  2 B 2.32
4 Hg 0.0000 0.0000 0.5000  2 B 2.32
5 Hg 0.5000 0.0000 0.0000  2 B 2.32

=====

This record from the Alexandria database describes HgBH2 after structural relaxation. The functional is PBE.

Results
energy above the most stable polymorph in this dataset: 0 meV/atom
DOS(E_F): 0.65 states/eV/cell
total magnetization: 0.000 μB/atom
DFT total energy: -2.707 eV/atom

Lattice parameters (Å, degrees): 4.9655 4.9655 4.9703 60.03 60.03 90.00
Closest atoms and distances in Å follow each position.
Atoms (fractional coordinates):
1 Hg 0.0000 0.0000 0.0000  12 H 2.91-2.92, 4 Hg 3.04, 4 B 3.04
2 B 0.5000 0.5000 0.0000  4 H 1.52
3 H 0.3750 0.6250 0.2500  2 B 1.52
4 B 0.2500 0.7500 0.5000  4 H 1.52
5 Hg 0.7500 0.2500 0.5000  12 H 2.91-2.92, 4 Hg 3.04, 4 B 3.04
6 H 0.3750 0.1250 0.2500  2 B 1.52
7 H 0.3750 0.6250 0.7500  2 B 1.52
8 H 0.8750 0.6250 0.7500  2 B 1.52

=====

This record from the Alexandria database describes Hg2BH after structural relaxation. The functional is PBE.

Results
energy above the most stable polymorph in this dataset: 0 meV/atom
DOS(E_F): 2.29 states/eV/cell
total magnetization: 0.000 μB/atom
DFT total energy: -1.736 eV/atom

Lattice parameters (Å, degrees): 4.8960 4.8960 6.6604 68.44 68.44 90.00
Closest atoms and distances in Å follow each position.
Atoms (fractional coordinates):
1 B 0.7500 0.2500 0.5000  4 Hg 2.27
2 Hg 0.1363 0.6250 0.2500  2 H 2.21, 2 B 2.27
3 B 0.0000 0.0000 0.0000  4 Hg 2.27
4 Hg 0.6137 0.1250 0.2500  2 H 2.21, 2 B 2.27
5 Hg 0.8750 0.8637 0.7500  2 H 2.21, 2 B 2.27
6 H 0.5000 0.5000 0.0000  4 Hg 2.21
7 H 0.2500 0.7500 0.5000  4 Hg 2.21
8 Hg 0.3750 0.3863 0.7500  2 H 2.21, 2 B 2.27

=====

This record from the Alexandria database describes HgB2HIr after structural relaxation. The functional is PBE.

Results
DOS(E_F): 2.91 states/eV/cell
total magnetization: 0.000 μB/atom
DFT total energy: -3.370 eV/atom

Lattice parameters (Å, degrees): 4.3712 3.2183 4.3712 90.00 90.00 90.00
Closest atoms and distances in Å follow each position.
Atoms (fractional coordinates):
1 B 0.5000 0.0000 0.0000  2 Hg 2.19
2 H 0.0000 0.5000 0.0000  2 Hg 1.61
3 Ir 0.5000 0.5000 0.5000  8 B 2.71
4 Hg 0.0000 0.0000 0.0000  2 H 1.61
5 B 0.0000 0.0000 0.5000  2 Hg 2.19

=====

This record from the Alexandria database describes Hg2BMoH after structural relaxation. The functional is PBE.

Results
DOS(E_F): 3.35 states/eV/cell
total magnetization: 0.430 μB/atom
DFT total energy: -2.900 eV/atom

Lattice parameters (Å, degrees): 5.5216 4.0665 5.5216 90.00 90.00 90.00
Closest atoms and distances in Å follow each position.
Atoms (fractional coordinates):
1 H 0.5000 0.5000 0.5000  8 Hg 3.43
2 B 0.0000 0.5000 0.0000  2 Mo 2.03
3 Hg 0.0000 0.0000 0.5000  2 Mo 2.76
4 Hg 0.5000 0.0000 0.0000  2 Mo 2.76
5 Mo 0.0000 0.0000 0.0000  2 B 2.03